The following is a DFT calculation (GGA-PBE) of Tm2PbSe after structural relaxation.

Cell: 4.188 4.188 21.042 Å, 90.00 90.00 120.00°
Sites, in units of the cell vectors:
Tm 0.000 0.000 0.246
Tm 0.000 0.000 0.754
Tm 0.333 0.667 0.421
Tm 0.333 0.667 0.913
Tm 0.667 0.333 0.087
Tm 0.667 0.333 0.579
Pb 0.000 0.000 0.000
Pb 0.333 0.667 0.667
Pb 0.667 0.333 0.333
Se 0.000 0.000 0.500
Se 0.333 0.667 0.167
Se 0.667 0.333 0.833

Output
Calculated total energy, eV/atom: -5.06
DOS at the Fermi energy, states/eV/cell: 6.0
Magnetic moment, μB per atom: 0.00
E_form (uncorrected), eV per atom: -1.02